The following is a PBE-GGA calculation of a geometry-optimized TmGa3CoRu structure, from Alexandria.

Calculated values
Final energy: -5.278 eV per atom
V: 18.34 Å³/atom

Unit cell a=6.469 b=6.469 c=5.482 alpha=90.00 beta=90.00 gamma=106.42
Sites, in units of the cell vectors:
Tm: 0.206 0.794 0.750
Tm: 0.794 0.206 0.250
Ga: 0.251 0.251 0.000
Ga: 0.251 0.251 0.500
Ga: 0.314 0.686 0.250
Ga: 0.686 0.314 0.750
Ga: 0.749 0.749 0.000
Ga: 0.749 0.749 0.500
Co: 0.463 0.537 0.750
Co: 0.537 0.463 0.250
Ru: 0.082 0.918 0.250
Ru: 0.918 0.082 0.750